Ta3AuI: optimized geometry, PBE-GGA.

abc: 5.033 5.033 5.033
angles: 90.00 90.00 90.00
Space group Pm-3m (No. 221)
Unique sites:
Ta1 0.000 0.000 0.500 x3
Au1 0.000 0.000 0.000 x1
I1 0.500 0.500 0.500 x1



TaAu2I6: optimized geometry, PBE-GGA.

abc: 16.302 15.681 6.521
angles: 90.00 108.56 90.00
Space group C2/c (No. 15)
Unique sites:
Ta1 0.000 0.000 0.250 x4
Au1 0.101 0.500 0.329 x8
I1 0.061 0.144 0.049 x8
I2 0.112 0.370 0.588 x8
I3 0.146 0.060 0.617 x8



TaAuI6: optimized geometry, PBE-GGA.

abc: 7.781 12.781 7.790
angles: 90.00 117.30 90.00
Space group C2/m (No. 12)
Unique sites:
Ta1 0.000 0.000 0.000 x2
Au1 0.000 0.500 0.500 x2
I1 0.204 0.000 0.795 x4
I2 0.247 0.155 0.246 x8



TaAu3I: optimized geometry, PBE-GGA.

abc: 5.233 5.233 5.233
angles: 90.00 90.00 90.00
Space group Pm-3m (No. 221)
Unique sites:
Ta1 0.000 0.000 0.000 x1
Au1 0.000 0.500 0.500 x3
I1 0.500 0.500 0.500 x1



Ordered DOS at the Fermi energy results: 5.733; 4.544; 9.492; 5.907; unit states/eV per cell.
Ordered E results: -0.230; -0.120; -0.121; -0.106; unit hartree per atom.